(1)
Li2Zn2Mo3O12 | Alexandria | SCAN | PBEsol geometry; space-group type = No. 62; VASP energy = -13.238 eV per atom
1.0
5.068 0.000 0.000
0.000 10.464 0.000
0.000 0.000 17.438
Li Zn Mo O
8 8 12 48
Direct
0.259 0.250 0.700
0.741 0.750 0.300
0.241 0.750 0.200
0.759 0.250 0.800
0.107 0.250 0.249
0.893 0.750 0.751
0.393 0.750 0.749
0.607 0.250 0.251
0.245 0.079 0.530
0.755 0.921 0.470
0.255 0.921 0.030
0.755 0.579 0.470
0.745 0.079 0.970
0.245 0.421 0.530
0.745 0.421 0.970
0.255 0.579 0.030
0.278 0.526 0.342
0.722 0.474 0.658
0.222 0.474 0.842
0.722 0.026 0.658
0.778 0.526 0.158
0.278 0.974 0.342
0.778 0.974 0.158
0.222 0.026 0.842
0.280 0.250 0.057
0.720 0.750 0.943
0.220 0.750 0.557
0.780 0.250 0.443
0.060 0.250 0.509
0.940 0.750 0.491
0.440 0.750 0.009
0.560 0.250 0.991
0.358 0.115 0.295
0.642 0.885 0.705
0.142 0.885 0.795
0.642 0.615 0.705
0.858 0.115 0.205
0.358 0.385 0.295
0.858 0.385 0.205
0.142 0.615 0.795
0.364 0.250 0.153
0.636 0.750 0.847
0.136 0.750 0.653
0.864 0.250 0.347
0.080 0.014 0.426
0.920 0.986 0.574
0.420 0.986 0.926
0.920 0.514 0.574
0.580 0.014 0.074
0.080 0.486 0.426
0.580 0.486 0.074
0.420 0.514 0.926
0.074 0.621 0.285
0.926 0.379 0.715
0.426 0.379 0.785
0.926 0.121 0.715
0.574 0.621 0.215
0.074 0.879 0.285
0.574 0.879 0.215
0.426 0.121 0.785
0.077 0.115 0.038
0.923 0.885 0.962
0.423 0.885 0.538
0.923 0.615 0.962
0.577 0.115 0.462
0.077 0.385 0.038
0.577 0.385 0.462
0.423 0.615 0.538
0.061 0.615 0.126
0.939 0.385 0.874
0.439 0.385 0.626
0.939 0.115 0.874
0.561 0.615 0.374
0.061 0.885 0.126
0.561 0.885 0.374
0.439 0.115 0.626

***

(2)
LiMo2Os | Alexandria | SCAN | PBEsol geometry; ΔE to the lowest computed polymorph = 0.0808 eV/atom; space-group type = No. 123; VASP energy = -35.698 eV per atom
1.0
-2.859 1.401 -2.001
-0.945 -3.558 -1.142
-2.319 -0.365 3.057
Li Mo Os
1 2 1
Direct
0.500 0.000 0.000
0.000 0.000 0.500
0.000 0.500 0.000
0.500 0.500 0.500

***

(3)
LiMo2Os | Alexandria | SCAN | PBEsol geometry; ΔE to the lowest computed polymorph = 0.0115 eV/atom; space-group type = No. 225; VASP energy = -35.767 eV per atom
1.0
4.303 0.000 0.000
2.151 3.726 0.000
2.151 1.242 3.513
Li Mo Os
1 2 1
Direct
0.500 0.500 0.500
0.250 0.250 0.250
0.750 0.750 0.750
0.000 0.000 0.000

***

(4)
LiMo2Os | Alexandria | SCAN | PBEsol geometry; ΔE to the lowest computed polymorph = 0.0000 eV/atom; space-group type = No. 216; VASP energy = -35.779 eV per atom
1.0
-3.030 3.002 0.431
-3.603 -0.884 2.148
-0.709 1.796 3.827
Li Mo Os
1 2 1
Direct
0.500 0.500 0.500
0.000 0.000 0.000
0.750 0.750 0.750
0.250 0.250 0.250

***

(5)
LiMoOs | Alexandria | SCAN | PBEsol geometry; space-group type = No. 156; VASP energy = -36.163 eV per atom
1.0
2.733 0.000 0.000
-1.366 2.366 0.000
0.000 0.000 6.878
Li Mo Os
1 1 1
Direct
0.000 0.000 0.013
0.667 0.333 0.645
0.333 0.667 0.342

***

(6)
Li4MoOs | Alexandria | SCAN | PBEsol geometry; space-group type = No. 216; VASP energy = -19.001 eV per atom
1.0
-4.616 0.036 0.519
-1.860 -0.109 4.255
-2.116 3.766 1.707
Li Mo Os
4 1 1
Direct
0.373 0.373 0.373
0.373 0.373 0.880
0.880 0.373 0.373
0.373 0.880 0.373
0.750 0.750 0.750
0.000 0.000 0.000